No. 1
The following is a DFT calculation (PBE-GGA) of a relaxed structure of KTcI3.

Calculated values
DFT total energy   -3.658 eV/atom
ΔE to the lowest computed polymorph   0 meV per atom

Unit cell a=3.8177 b=10.8032 c=9.9804 alpha=97.70 beta=90.00 gamma=100.17
With the nearest neighbours (Å) after each atom.
Fractional positions:
I1 0.9338 0.8330 0.3962  4 K 3.53-3.55, 2 I 3.82
Tc1 0.7566 0.4814 0.7522  2 Tc 2.36
K1 0.3922 0.7502 0.0999  7 I 3.53-3.72, 2 K 3.82
Tc2 0.1983 0.3647 0.6696  2 Tc 2.36
I2 0.0236 0.0128 0.0251  4 K 3.53-3.55, 2 I 3.82
K2 0.5651 0.0957 0.3215  7 I 3.53-3.72, 2 K 3.82
I3 0.6030 0.1739 0.6963  2 Tc 2.82
I4 0.7466 0.4607 0.0140  1 Tc 2.65
I5 0.3519 0.6721 0.7254  2 Tc 2.82
I6 0.2091 0.3852 0.4077  1 Tc 2.65

No. 2
The following is a DFT calculation (PBE-GGA) of a relaxed structure of AlReMo3.

Calculated values
DFT total energy   -8.162 eV/atom
ΔH_f (0 K)   1.57 eV per atom
ΔE to the lowest computed polymorph   0 meV per atom

Unit cell a=4.7343 b=4.7343 c=4.7343 alpha=90.00 beta=90.00 gamma=90.00
With the nearest neighbours (Å) after each atom.
Fractional positions:
Al1 0.5000 0.5000 0.5000  12 Mo 3.35
Re1 0.0000 0.0000 0.0000  6 Mo 2.37
Mo1 0.0000 0.0000 0.5000  2 Re 2.37
Mo2 0.0000 0.5000 0.0000  2 Re 2.37
Mo3 0.5000 0.0000 0.0000  2 Re 2.37

No. 3
The following is a DFT calculation (PBE-GGA) of a relaxed structure of LaHgAu3.

Calculated values
DFT total energy   -3.441 eV/atom
ΔH_f (0 K)   -0.43 eV per atom
ΔE to the lowest computed polymorph   114 meV per atom

Unit cell a=5.3208 b=4.5896 c=11.2879 alpha=101.73 beta=115.50 gamma=90.00
With the nearest neighbours (Å) after each atom.
Fractional positions:
Au1 0.7485 0.9995 0.9989  2 Au 2.65-2.67, 2 Hg 2.91-2.92
Au2 0.4937 0.7093 0.4186  3 Hg 2.84-3.18, 6 Au 2.90-3.09, 1 La 3.10
Au3 0.8613 0.2118 0.4235  6 Au 2.85-3.09, 1 Hg 3.02, 2 La 3.14
La1 0.2613 0.3946 0.7892  5 Au 3.10-3.30, 2 Hg 3.35
Hg1 0.7668 0.8692 0.7384  6 Au 2.84-3.18
Au4 0.5063 0.2907 0.5814  3 Hg 2.84-3.18, 6 Au 2.90-3.09, 1 La 3.10
Au5 0.1387 0.7882 0.5765  6 Au 2.85-3.09, 1 Hg 3.02, 2 La 3.14
La2 0.7387 0.6054 0.2108  5 Au 3.10-3.30, 2 Hg 3.35
Hg2 0.2332 0.1308 0.2616  6 Au 2.84-3.18
Au6 0.2515 0.0005 0.0011  2 Au 2.65-2.67, 2 Hg 2.91-2.92

No. 4
The following is a DFT calculation (PBE-GGA) of a relaxed structure of Zn2CuSb2.

Calculated values
DFT total energy   -2.718 eV/atom
ΔE to the lowest computed polymorph   28 meV per atom

Unit cell a=9.0911 b=9.0911 c=9.0911 alpha=157.81 beta=157.81 gamma=31.58
With the nearest neighbours (Å) after each atom.
Fractional positions:
Sb1 0.5876 0.5876 0.0000  4 Cu 2.91, 1 Sb 3.07
Zn1 0.2500 0.7500 0.5000  4 Zn 2.47
Zn2 0.7500 0.2500 0.5000  4 Zn 2.47
Sb2 0.4124 0.4124 0.0000  4 Cu 2.91, 1 Sb 3.07
Cu1 0.0000 0.0000 0.0000  8 Sb 2.91